No. 1
First-principles (PBE) data for Ac2TbGa3Pt4 after structural relaxation, as listed in Alexandria.

```
Ac2TbGa3Pt4
1.0
4.423 0.000 0.000
0.000 4.423 0.000
0.000 0.000 11.329
Ac Pt Tb Ga
2 4 1 3
direct
0.000 0.500 0.769
0.500 0.000 0.231
0.500 0.500 0.000
0.000 0.500 0.344
0.500 0.000 0.656
0.000 0.000 0.000
0.500 0.500 0.500
0.500 0.000 0.883
0.000 0.500 0.117
0.000 0.000 0.500
```

Properties
density = 12.0 g cm⁻³
SG = P-4m2, No. 115
formation enthalpy at 0 K = -998 meV/atom
V = 221.67 Å³ per cell


No. 2
First-principles (PBE) data for AcTbGaPt after structural relaxation, as listed in Alexandria.

```
AcTbGaPt
1.0
5.259 0.000 0.000
2.629 4.554 0.000
2.629 1.518 4.294
Tb Ga Pt Ac
1 1 1 1
direct
0.500 0.500 0.500
0.750 0.750 0.750
0.250 0.250 0.250
0.000 0.000 0.000
```

Properties
density = 10.5 g cm⁻³
SG = F-43m, No. 216
formation enthalpy at 0 K = -702 meV/atom
V = 102.83 Å³ per cell


No. 3
First-principles (PBE) data for Ac2TbGa4Pt3 after structural relaxation, as listed in Alexandria.

```
Ac2TbGa4Pt3
1.0
-3.964 -1.708 -0.717
-0.601 -0.416 4.313
-4.703 10.755 0.383
Ga Tb Ac Pt
4 1 2 3
direct
0.500 0.500 0.000
0.500 0.000 0.662
0.000 0.000 0.000
0.000 0.500 0.338
0.500 0.500 0.500
0.000 0.500 0.772
0.500 0.000 0.228
0.000 0.000 0.500
0.000 0.500 0.121
0.500 0.000 0.879
```

Properties
density = 10.9 g cm⁻³
SG = P-4m2, No. 115
formation enthalpy at 0 K = -869 meV/atom
V = 224.78 Å³ per cell


No. 4
First-principles (PBE) data for Ac2GaTePt6 after structural relaxation, as listed in Alexandria.

```
Ac2GaTePt6
1.0
8.699 -0.130 -1.956
0.071 5.816 -0.047
2.905 2.907 4.115
Ga Ac Pt Te
1 2 6 1
direct
0.500 0.500 0.000
0.617 0.205 0.590
0.383 0.795 0.410
0.737 0.247 0.010
0.738 0.744 0.512
0.263 0.753 0.990
0.737 0.744 0.009
0.263 0.256 0.991
0.262 0.256 0.488
0.000 0.000 0.000
```

Properties
density = 12.5 g cm⁻³
SG = C2/m, No. 12
formation energy from raw total energies = -0.751 eV/atom
V = 242.12 Å³ per cell


No. 5
First-principles (PBE) data for Ac4GaTe2Pt after structural relaxation, as listed in Alexandria.

```
Ac4GaTe2Pt
1.0
4.547 0.000 0.000
0.000 7.846 0.139
0.000 -2.747 7.989
Te Pt Ga Ac
2 1 1 4
direct
0.500 0.000 0.500
0.000 0.500 0.500
0.000 0.000 0.000
0.500 0.500 0.000
0.000 0.753 0.226
0.500 0.764 0.781
0.000 0.247 0.774
0.500 0.236 0.219
```

Properties
density = 8.3 g cm⁻³
SG = P2/m, No. 10
formation energy from raw total energies = -1.124 eV/atom
V = 286.78 Å³ per cell


No. 6
First-principles (PBE) data for AcThGa2Pt5 after structural relaxation, as listed in Alexandria.

```
AcThGa2Pt5
1.0
4.512 0.000 0.000
0.000 4.512 0.000
0.000 0.000 8.875
Ga Pt Th Ac
2 5 1 1
direct
0.500 0.500 0.141
0.500 0.500 0.859
0.000 0.500 0.258
0.000 0.500 0.742
0.500 0.500 0.500
0.500 0.000 0.742
0.500 0.000 0.258
0.000 0.000 0.000
0.000 0.000 0.500
```

Properties
density = 14.5 g cm⁻³
SG = P4/mmm, No. 123
formation enthalpy at 0 K = -872 meV/atom
V = 180.68 Å³ per cell


No. 7
First-principles (PBE) data for Ac2ThGa3Pt4 after structural relaxation, as listed in Alexandria.

```
Ac2ThGa3Pt4
1.0
4.548 0.000 0.000
0.000 4.548 0.000
0.000 0.000 11.059
Ac Th Ga Pt
2 1 3 4
direct
0.000 0.500 0.777
0.500 0.000 0.223
0.500 0.500 0.500
0.000 0.500 0.112
0.000 0.000 0.500
0.500 0.000 0.888
0.500 0.500 0.000
0.500 0.000 0.657
0.000 0.500 0.343
0.000 0.000 0.000
```

Properties
density = 12.2 g cm⁻³
SG = P-4m2, No. 115
formation enthalpy at 0 K = -965 meV/atom
V = 228.70 Å³ per cell


No. 8
First-principles (PBE) data for Ac2TiGa3Pt4 after structural relaxation, as listed in Alexandria.

```
Ac2TiGa3Pt4
1.0
-4.021 -0.291 -1.808
-1.607 -1.534 3.820
-2.124 9.979 3.115
Ga Ac Pt Ti
3 2 4 1
direct
0.000 0.000 0.500
0.000 0.500 0.124
0.500 0.000 0.876
0.500 0.000 0.245
0.000 0.500 0.755
0.000 0.000 0.000
0.500 0.000 0.635
0.500 0.500 0.000
0.000 0.500 0.365
0.500 0.500 0.500
```

Properties
density = 11.9 g cm⁻³
SG = P-4m2, No. 115
formation enthalpy at 0 K = -943 meV/atom
V = 208.29 Å³ per cell


No. 9
First-principles (PBE) data for Ac2TlGaPt after structural relaxation, as listed in Alexandria.

```
Ac2TlGaPt
1.0
4.811 0.000 0.000
0.000 7.814 0.296
0.000 -3.044 7.675
Ac Pt Tl Ga
4 2 2 2
direct
0.750 0.709 0.054
0.250 0.291 0.946
0.250 0.138 0.336
0.750 0.862 0.664
0.750 0.112 0.075
0.250 0.888 0.925
0.750 0.340 0.646
0.250 0.660 0.354
0.250 0.569 0.692
0.750 0.431 0.308
```

Properties
density = 10.5 g cm⁻³
SG = P2_1/m, No. 11
formation enthalpy at 0 K = -689 meV/atom
V = 292.86 Å³ per cell


No. 10
First-principles (PBE) data for AcTmGaPt after structural relaxation, as listed in Alexandria.

```
AcTmGaPt
1.0
-4.586 1.481 2.006
-3.774 -3.523 0.765
-1.305 -1.415 4.852
Pt Ac Tm Ga
1 1 1 1
direct
0.750 0.750 0.750
0.500 0.500 0.500
0.000 0.000 0.000
0.250 0.250 0.250
```

Properties
density = 10.9 g cm⁻³
SG = F-43m, No. 216
formation enthalpy at 0 K = -703 meV/atom
V = 100.56 Å³ per cell


No. 11
First-principles (PBE) data for Ac2UGaPt6 after structural relaxation, as listed in Alexandria.

```
Ac2UGaPt6
1.0
8.427 -0.013 -0.437
0.003 6.339 -0.008
3.992 3.165 4.204
Ac Pt U Ga
2 6 1 1
direct
0.715 0.265 0.469
0.285 0.735 0.531
0.903 0.747 0.508
0.741 0.224 0.986
0.097 0.253 0.492
0.739 0.788 0.990
0.261 0.212 0.010
0.259 0.776 0.014
0.500 0.500 0.000
0.000 0.000 0.000
```

Properties
density = 13.6 g cm⁻³
SG = P-1, No. 2
formation enthalpy at 0 K = -750 meV/atom
V = 235.87 Å³ per cell


No. 12
First-principles (PBE) data for AcUGa2Pt5 after structural relaxation, as listed in Alexandria.

```
AcUGa2Pt5
1.0
-2.498 3.273 0.439
-3.256 -2.349 -1.013
-1.571 -2.725 11.370
Ac Pt Ga U
1 5 2 1
direct
0.000 0.000 0.500
0.500 0.500 0.500
0.000 0.500 0.165
0.500 0.000 0.835
0.000 0.500 0.835
0.500 0.000 0.165
0.500 0.500 0.290
0.500 0.500 0.710
0.000 0.000 0.000
```

Properties
density = 13.0 g cm⁻³
SG = P4/mmm, No. 123
formation enthalpy at 0 K = -686 meV/atom
V = 202.25 Å³ per cell


No. 13
First-principles (PBE) data for Ac2YGa2Pt7 after structural relaxation, as listed in Alexandria.

```
Ac2YGa2Pt7
1.0
-3.757 -1.909 -0.037
1.674 -3.320 -1.983
2.274 -7.558 11.833
Pt Ga Ac Y
7 2 2 1
direct
0.456 0.956 0.147
0.398 0.398 0.421
0.544 0.044 0.853
0.956 0.456 0.147
0.044 0.544 0.853
0.602 0.602 0.579
0.500 0.500 0.000
0.427 0.427 0.244
0.573 0.573 0.756
0.095 0.095 0.647
0.905 0.905 0.353
0.000 0.000 0.000
```

Properties
density = 13.6 g cm⁻³
SG = C2/m, No. 12
formation enthalpy at 0 K = -1012 meV/atom
V = 250.54 Å³ per cell


No. 14
First-principles (PBE) data for AcYGa2Pt5 after structural relaxation, as listed in Alexandria.

```
AcYGa2Pt5
1.0
-1.427 2.653 -3.136
-2.793 -3.061 -1.320
-6.443 3.381 5.791
Pt Ga Y Ac
5 2 1 1
direct
0.500 0.000 0.740
0.000 0.500 0.740
0.000 0.500 0.260
0.500 0.500 0.500
0.500 0.000 0.260
0.500 0.500 0.869
0.500 0.500 0.131
0.000 0.000 0.000
0.000 0.000 0.500
```

Properties
density = 13.5 g cm⁻³
SG = P4/mmm, No. 123
formation enthalpy at 0 K = -843 meV/atom
V = 175.87 Å³ per cell


No. 15
First-principles (PBE) data for Ac2YGa3Pt4 after structural relaxation, as listed in Alexandria.

```
Ac2YGa3Pt4
1.0
-0.052 4.407 -0.274
-3.024 0.164 3.213
8.277 0.579 7.761
Pt Y Ga Ac
4 1 3 2
direct
0.500 0.500 0.000
0.500 0.000 0.657
0.000 0.000 0.000
0.000 0.500 0.343
0.500 0.500 0.500
0.000 0.500 0.117
0.500 0.000 0.883
0.000 0.000 0.500
0.500 0.000 0.231
0.000 0.500 0.769
```

Properties
density = 11.5 g cm⁻³
SG = P-4m2, No. 115
formation enthalpy at 0 K = -996 meV/atom
V = 221.52 Å³ per cell


No. 16
First-principles (PBE) data for AcYGa2Pt2 after structural relaxation, as listed in Alexandria.

```
AcYGa2Pt2
1.0
4.532 0.000 0.000
-2.266 3.924 0.000
0.000 0.000 7.527
Ga Pt Y Ac
2 2 1 1
direct
0.333 0.667 0.292
0.667 0.333 0.708
0.667 0.333 0.287
0.333 0.667 0.713
0.000 0.000 0.500
0.000 0.000 0.000
```

Properties
density = 10.5 g cm⁻³
SG = P-3m1, No. 164
formation enthalpy at 0 K = -1039 meV/atom
V = 133.85 Å³ per cell


No. 17
First-principles (PBE) data for AcZn2GaPt after structural relaxation, as listed in Alexandria.

```
AcZn2GaPt
1.0
4.289 0.000 0.000
0.000 4.429 0.000
-2.144 -2.214 5.531
Ac Pt Zn Ga
1 1 2 1
direct
0.440 0.440 0.881
0.825 0.825 0.651
0.694 0.194 0.388
0.059 0.059 0.118
0.193 0.693 0.387
```

Properties
density = 9.8 g cm⁻³
SG = Imm2, No. 44
formation enthalpy at 0 K = -635 meV/atom
V = 105.06 Å³ per cell


No. 18
First-principles (PBE) data for Ac2ZnGa4Pt3 after structural relaxation, as listed in Alexandria.

```
Ac2ZnGa4Pt3
1.0
4.433 0.000 0.000
0.000 4.433 0.000
0.000 0.000 10.622
Ga Pt Ac Zn
4 3 2 1
direct
0.000 0.500 0.371
0.500 0.000 0.629
0.000 0.000 0.000
0.500 0.500 0.000
0.000 0.500 0.129
0.000 0.000 0.500
0.500 0.000 0.871
0.500 0.000 0.248
0.000 0.500 0.752
0.500 0.500 0.500
```

Properties
density = 11.0 g cm⁻³
SG = P-4m2, No. 115
formation enthalpy at 0 K = -860 meV/atom
V = 208.72 Å³ per cell


No. 19
First-principles (PBE) data for Ac3Zn2GaPt9 after structural relaxation, as listed in Alexandria.

```
Ac3Zn2GaPt9
1.0
7.500 0.000 0.000
-3.750 6.495 0.000
0.000 0.000 6.710
Pt Ga Zn Ac
9 1 2 3
direct
0.834 0.668 0.668
0.166 0.332 0.332
0.834 0.166 0.668
0.166 0.834 0.332
0.000 0.500 0.000
0.500 0.000 0.000
0.332 0.166 0.668
0.500 0.500 0.000
0.668 0.834 0.332
0.000 0.000 0.500
0.333 0.667 0.167
0.667 0.333 0.833
0.667 0.333 0.332
0.000 0.000 0.000
0.333 0.667 0.668
```

Properties
density = 13.4 g cm⁻³
SG = P-3m1, No. 164
formation enthalpy at 0 K = -578 meV/atom
V = 326.84 Å³ per cell


No. 20
First-principles (PBE) data for Ac2ZnGa3Pt4 after structural relaxation, as listed in Alexandria.

```
Ac2ZnGa3Pt4
1.0
4.432 0.000 0.000
0.000 4.432 0.000
0.000 0.000 10.555
Ga Zn Ac Pt
3 1 2 4
direct
0.000 0.000 0.500
0.500 0.000 0.877
0.000 0.500 0.123
0.500 0.500 0.500
0.000 0.500 0.749
0.500 0.000 0.251
0.500 0.000 0.633
0.000 0.500 0.367
0.000 0.000 0.000
0.500 0.500 0.000
```

Properties
density = 12.1 g cm⁻³
SG = P-4m2, No. 115
formation enthalpy at 0 K = -934 meV/atom
V = 207.36 Å³ per cell